[1]
LiReTc2 | PBE | relaxed

a b c (Å): 4.816 4.816 2.665
angles (deg): 90.00 90.00 112.68
Element x y z (fractional)
Li 0.000 0.000 0.000
Re 0.500 0.500 0.000
Tc 0.000 0.500 0.500
Tc 0.500 0.000 0.500

Computed properties:
Energy ... -8.437 eV per atom
Volume ... 14.256 Å³ per atom
DFT formation energy ... 0.34 eV/atom
Space group ... Cmmm (65)

***

[2]
Li2TlIn | PBE | relaxed

a b c (Å): 10.571 10.571 10.571
angles (deg): 156.04 156.04 34.15
Element x y z (fractional)
Li 0.122 0.625 0.997
Li 0.375 0.372 0.497
Li 0.628 0.125 0.003
Li 0.875 0.878 0.503
Tl 0.250 0.750 0.500
Tl 0.500 0.500 0.000
In 0.000 0.000 0.000
In 0.750 0.250 0.500

Computed properties:
Energy ... -2.261 eV per atom
Volume ... 24.331 Å³ per atom
DFT formation energy ... -0.03 eV/atom
Space group ... I-42d (122)